The following is a PBE-GGA calculation of crystalline RbCaSeBr at its relaxed geometry, from the Alexandria database.

total energy = -15.1 eV per cell
total magnetization = 0.0 μB per cell
N(E_F) = 0.00 states/eV/f.u.
raw formation energy = -168.7 kJ/mol of atoms

Cell: 4.4104 4.4104 8.4559 Å, 90.01 105.11 119.99°
With the nearest neighbours (Å) after each atom.
Positions (direct):
Se (0.3366, 0.5663, 0.9181)  3 Ca 2.89
Rb (0.4843, 0.1401, 0.6396)  3 Se 3.40, 3 Br 3.60
Br (0.9411, 0.3685, 0.3248)  3 Ca 3.19
Ca (0.1159, 0.9559, 0.0871)  3 Se 2.89, 3 Br 3.19

***

The following is a PBE-GGA calculation of crystalline RbCaSe2Br at its relaxed geometry, from the Alexandria database.

energy above the lowest structure with this stoichiometry = 415 kJ/mol of formula units
total energy = -12.4 eV per cell
total magnetization = 0.4 μB per cell
N(E_F) = 2.65 states/eV/f.u.
raw formation energy = -16.0 kJ/mol of atoms

Cell: 5.6721 5.6721 6.0031 Å, 90.00 90.00 90.00°
With the nearest neighbours (Å) after each atom.
Positions (direct):
Rb (0.0000, 0.0000, 0.0000)  4 Se 2.84, 2 Br 3.00
Se (0.0000, 0.5000, 0.0000)  2 Rb 2.84
Ca (0.5000, 0.5000, 0.5000)  4 Br 4.01, 8 Se 4.13
Br (0.0000, 0.0000, 0.5000)  2 Rb 3.00
Se (0.5000, 0.0000, 0.0000)  2 Rb 2.84

***

The following is a PBE-GGA calculation of crystalline RbCaSmBr6 at its relaxed geometry, from the Alexandria database.

total energy = -70.3 eV per cell
total magnetization = 0.0 μB per cell
N(E_F) = 0.00 states/eV/f.u.
raw formation energy = -186.6 kJ/mol of atoms

Cell: 7.5646 7.5646 14.9997 Å, 90.00 90.00 120.00°
With the nearest neighbours (Å) after each atom.
Positions (direct):
Br (0.3728, 0.3769, 0.8604)  1 Sm 2.88, 1 Ca 2.92
Rb (0.0000, 0.0000, 0.0000)  6 Br 3.52
Br (0.3769, 0.3728, 0.3604)  1 Sm 2.88, 1 Ca 2.92
Br (0.0042, 0.6272, 0.8604)  1 Sm 2.88, 1 Ca 2.92
Sm (0.3333, 0.6667, 0.7500)  6 Br 2.88
Br (0.6231, 0.9958, 0.8604)  1 Sm 2.88, 1 Ca 2.92
Sm (0.6667, 0.3333, 0.2500)  6 Br 2.88
Br (0.9958, 0.3728, 0.1396)  1 Sm 2.88, 1 Ca 2.92
Ca (0.3333, 0.6667, 0.2500)  6 Br 2.92
Ca (0.6667, 0.3333, 0.7500)  6 Br 2.92
Br (0.3728, 0.9958, 0.6396)  1 Sm 2.88, 1 Ca 2.92
Rb (0.0000, 0.0000, 0.5000)  6 Br 3.52
Br (0.0042, 0.3769, 0.6396)  1 Sm 2.88, 1 Ca 2.92
Br (0.6272, 0.6231, 0.1396)  1 Sm 2.88, 1 Ca 2.92
Br (0.6231, 0.6272, 0.6396)  1 Sm 2.88, 1 Ca 2.92
Br (0.3769, 0.0042, 0.1396)  1 Sm 2.88, 1 Ca 2.92
Br (0.6272, 0.0042, 0.3604)  1 Sm 2.88, 1 Ca 2.92
Br (0.9958, 0.6231, 0.3604)  1 Sm 2.88, 1 Ca 2.92

***

The following is a PBE-GGA calculation of crystalline RbCa2SmBr8 at its relaxed geometry, from the Alexandria database.

total energy = -45.8 eV per cell
total magnetization = 0.0 μB per cell
N(E_F) = 0.00 states/eV/f.u.
raw formation energy = -183.1 kJ/mol of atoms

Cell: 7.1314 6.8140 9.2137 Å, 90.00 90.00 89.49°
With the nearest neighbours (Å) after each atom.
Positions (direct):
Br (0.8299, 0.2450, 0.2147)  1 Sm 2.85, 1 Ca 2.93
Rb (0.0000, 0.0000, 0.5000)  6 Br 3.29-3.34
Br (0.6716, 0.7363, 0.0000)  1 Sm 2.96, 2 Ca 3.09
Sm (0.0000, 0.0000, 0.0000)  6 Br 2.85-2.96
Br (0.1700, 0.7549, 0.2147)  1 Sm 2.85, 1 Ca 2.93
Br (0.1701, 0.7550, 0.7853)  1 Sm 2.85, 1 Ca 2.93
Ca (0.5000, 0.5000, 0.2530)  6 Br 2.89-3.09
Br (0.6213, 0.7270, 0.5000)  2 Ca 2.89
Ca (0.5000, 0.5000, 0.7470)  6 Br 2.89-3.09
Br (0.8300, 0.2451, 0.7853)  1 Sm 2.85, 1 Ca 2.93
Br (0.3284, 0.2637, 0.0000)  1 Sm 2.96, 2 Ca 3.09
Br (0.3787, 0.2730, 0.5000)  2 Ca 2.89

***

The following is a PBE-GGA calculation of crystalline RbCaSnBr5 at its relaxed geometry, from the Alexandria database.

total energy = -54.3 eV per cell
total magnetization = 0.0 μB per cell
N(E_F) = 0.00 states/eV/f.u.
raw formation energy = -142.3 kJ/mol of atoms

Cell: 8.0370 8.0370 11.7513 Å, 110.07 110.07 96.72°
With the nearest neighbours (Å) after each atom.
Positions (direct):
Br (0.1066, 0.6604, 0.9291)  1 Ca 2.89, 1 Sn 2.97
Ca (0.0000, 0.0000, 0.0000)  6 Br 2.89-2.96
Br (0.3396, 0.8934, 0.5709)  1 Ca 2.89, 1 Sn 2.97
Ca (0.0000, 0.0000, 0.5000)  6 Br 2.89-2.96
Sn (0.7463, 0.2537, 0.2500)  4 Br 2.81-2.97
Br (0.2181, 0.3808, 0.5912)  1 Sn 2.81, 1 Ca 2.96
Br (0.6192, 0.7819, 0.9088)  1 Sn 2.81, 1 Ca 2.96
Rb (0.6701, 0.3299, 0.7500)  7 Br 3.55-3.64
Br (0.9732, 0.0268, 0.7500)  2 Ca 2.96
Br (0.6604, 0.1066, 0.4291)  1 Ca 2.89, 1 Sn 2.97
Br (0.8934, 0.3396, 0.0709)  1 Ca 2.89, 1 Sn 2.97
Sn (0.2537, 0.7463, 0.7500)  4 Br 2.81-2.97
Br (0.3808, 0.2181, 0.0912)  1 Sn 2.81, 1 Ca 2.96
Rb (0.3299, 0.6701, 0.2500)  7 Br 3.55-3.64
Br (0.0268, 0.9732, 0.2500)  2 Ca 2.96
Br (0.7819, 0.6192, 0.4088)  1 Sn 2.81, 1 Ca 2.96

***

The following is a PBE-GGA calculation of crystalline RbCaSnBr2 at its relaxed geometry, from the Alexandria database.

total energy = -11.5 eV per cell
total magnetization = 0.0 μB per cell
N(E_F) = 3.44 states/eV/f.u.
raw formation energy = -23.0 kJ/mol of atoms

Cell: 5.9399 7.0408 5.9399 Å, 90.00 90.00 90.00°
With the nearest neighbours (Å) after each atom.
Positions (direct):
Ca (0.5000, 0.5000, 0.5000)  4 Rb 4.20, 8 Br 4.61
Br (0.0000, 0.0000, 0.5000)  2 Sn 2.97
Br (0.5000, 0.0000, 0.0000)  2 Sn 2.97
Rb (0.0000, 0.5000, 0.0000)  2 Sn 3.52
Sn (0.0000, 0.0000, 0.0000)  4 Br 2.97

***

The following is a PBE-GGA calculation of crystalline Rb2CaSnBr6 at its relaxed geometry, from the Alexandria database.

energy above the lowest structure with this stoichiometry = 33 kJ/mol of formula units
total energy = -33.2 eV per cell
total magnetization = 0.0 μB per cell
N(E_F) = 0.00 states/eV/f.u.
raw formation energy = -147.3 kJ/mol of atoms

Cell: 8.2279 8.2279 8.2280 Å, 60.00 60.00 90.00°
With the nearest neighbours (Å) after each atom.
Positions (direct):
Br (0.7467, 0.7467, 0.0000)  1 Ca 2.87, 1 Sn 2.95
Sn (0.0000, 0.0000, 0.0000)  6 Br 2.95
Rb (0.7500, 0.2500, 0.5000)  12 Br 4.11
Br (0.7466, 0.7466, 0.5068)  1 Ca 2.87, 1 Sn 2.95
Ca (0.5000, 0.5000, 0.0000)  6 Br 2.87
Br (0.2533, 0.2533, 0.0000)  1 Ca 2.87, 1 Sn 2.95
Br (0.2534, 0.2534, 0.4932)  1 Ca 2.87, 1 Sn 2.95
Br (0.2533, 0.7467, 0.0000)  1 Ca 2.87, 1 Sn 2.95
Rb (0.2500, 0.7500, 0.5000)  12 Br 4.11
Br (0.7467, 0.2533, 0.0000)  1 Ca 2.87, 1 Sn 2.95

***

The following is a PBE-GGA calculation of crystalline Rb2CaSnBr6 at its relaxed geometry, from the Alexandria database.

energy above the lowest structure with this stoichiometry = 0 kJ/mol of formula units
total energy = -67.2 eV per cell
total magnetization = 0.0 μB per cell
N(E_F) = 0.00 states/eV/f.u.
raw formation energy = -150.6 kJ/mol of atoms

Cell: 7.9361 8.2604 11.4031 Å, 90.00 89.95 90.00°
With the nearest neighbours (Å) after each atom.
Positions (direct):
Br (0.6957, 0.2935, 0.5480)  1 Ca 2.93, 1 Sn 3.01
Sn (0.0000, 0.5000, 0.5000)  6 Br 2.99-3.01
Rb (0.5219, 0.5676, 0.7499)  6 Br 3.48-3.72
Br (0.2030, 0.1992, 0.4528)  1 Ca 2.92, 1 Sn 3.01
Br (0.7030, 0.3008, 0.9528)  1 Ca 2.92, 1 Sn 3.01
Br (0.3043, 0.7065, 0.4520)  1 Ca 2.93, 1 Sn 3.01
Br (0.7970, 0.8008, 0.5472)  1 Ca 2.92, 1 Sn 3.01
Br (0.0935, 0.4779, 0.7537)  1 Ca 2.91, 1 Sn 2.99
Br (0.8043, 0.7935, 0.9520)  1 Ca 2.93, 1 Sn 3.01
Ca (0.5000, 0.0000, 0.5000)  6 Br 2.91-2.93
Br (0.2970, 0.6992, 0.0472)  1 Ca 2.92, 1 Sn 3.01
Sn (0.5000, 0.0000, 0.0000)  6 Br 2.99-3.01
Rb (0.0219, 0.9324, 0.2499)  6 Br 3.48-3.72
Ca (0.0000, 0.5000, 0.0000)  6 Br 2.91-2.93
Br (0.4065, 0.9779, 0.7463)  1 Ca 2.91, 1 Sn 2.99
Rb (0.4781, 0.4324, 0.2501)  6 Br 3.48-3.72
Br (0.5935, 0.0221, 0.2537)  1 Ca 2.91, 1 Sn 2.99
Br (0.9065, 0.5221, 0.2463)  1 Ca 2.91, 1 Sn 2.99
Br (0.1957, 0.2065, 0.0480)  1 Ca 2.93, 1 Sn 3.01
Rb (0.9781, 0.0676, 0.7501)  6 Br 3.48-3.72